1.
! UGePt (PBE-GGA, optimized geometry); values from VASP
! **Crystal system**: orthorhombic
! **E_tot**: -7.95 eV per atom
&SYSTEM
  ibrav = 0, nat = 12, ntyp = 3
/
ATOMIC_SPECIES
U 238.03 U.upf
Pt 195.08 Pt.upf
Ge 72.64 Ge.upf
ATOMIC_POSITIONS crystal
U 0.7500 0.4929 0.2979
U 0.2500 0.0071 0.7979
U 0.7500 0.9929 0.2021
U 0.2500 0.5071 0.7021
Pt 0.7500 0.2052 0.5826
Pt 0.2500 0.2948 0.0826
Pt 0.2500 0.7948 0.4174
Pt 0.7500 0.7052 0.9174
Ge 0.7500 0.3038 0.9109
Ge 0.2500 0.1962 0.4109
Ge 0.7500 0.8038 0.5891
Ge 0.2500 0.6962 0.0891
CELL_PARAMETERS angstrom
-4.0656 -1.7868 -0.2886
-0.1863 -0.6804 6.8350
-3.0982 6.9514 0.6075

=====

2.
! U2GePt (PBE-GGA, optimized geometry); values from VASP
! **Crystal system**: trigonal
! **E_tot**: -8.25 eV per atom
&SYSTEM
  ibrav = 0, nat = 4, ntyp = 3
/
ATOMIC_SPECIES
Ge 72.64 Ge.upf
U 238.03 U.upf
Pt 195.08 Pt.upf
ATOMIC_POSITIONS crystal
Ge 0.5000 0.5000 0.5000
U 0.9140 0.9140 0.2580
U 0.0860 0.0860 0.7420
Pt 0.0000 0.0000 0.0000
CELL_PARAMETERS angstrom
-2.8514 0.5139 -0.6230
-1.9699 -2.2093 0.1448
-3.4207 1.7196 10.0253

=====

3.
! U4GePt (PBE-GGA, optimized geometry); values from VASP
! **Crystal system**: triclinic
! **E_tot**: -9.65 eV per atom
&SYSTEM
  ibrav = 0, nat = 6, ntyp = 3
/
ATOMIC_SPECIES
U 238.03 U.upf
Pt 195.08 Pt.upf
Ge 72.64 Ge.upf
ATOMIC_POSITIONS crystal
U 0.7860 0.4672 0.3392
U 0.2675 0.0010 0.8447
U 0.2086 0.5354 0.6645
U 0.7270 0.0016 0.1590
Pt 0.4973 0.5013 0.0019
Ge 0.9974 0.0012 0.5018
CELL_PARAMETERS angstrom
3.4015 0.6961 0.7028
0.3066 5.0910 -0.9131
1.1676 -0.7453 7.5800

=====

4.
! UGe4Pt12 (PBE-GGA, optimized geometry); values from VASP
! **Crystal system**: cubic
! **E_tot**: -6.14 eV per atom
&SYSTEM
  ibrav = 0, nat = 17, ntyp = 3
/
ATOMIC_SPECIES
U 238.03 U.upf
Ge 72.64 Ge.upf
Pt 195.08 Pt.upf
ATOMIC_POSITIONS crystal
U 0.0000 0.0000 0.0000
Ge 0.5000 0.5000 0.5000
Ge 0.5000 0.0000 0.0000
Ge 0.0000 0.5000 0.0000
Ge 0.0000 0.0000 0.5000
Pt 0.3432 0.1874 0.8441
Pt 0.4991 0.1559 0.3432
Pt 0.6568 0.8126 0.1559
Pt 0.8441 0.3432 0.1874
Pt 0.1559 0.6568 0.8126
Pt 0.1559 0.3432 0.4991
Pt 0.6568 0.5009 0.8441
Pt 0.8126 0.1559 0.6568
Pt 0.8441 0.6568 0.5009
Pt 0.5009 0.8441 0.6568
Pt 0.3432 0.4991 0.1559
Pt 0.1874 0.8441 0.3432
CELL_PARAMETERS angstrom
7.4244 0.0000 0.0000
-2.4748 6.9998 0.0000
-2.4748 -3.4999 6.0620

=====

We obtain energy of formation values of -61; 6; -34; -12 kJ/mol of atoms for the records listed above, in that order.